[1]
Density functional theory data (GGA-PBE) for a relaxed structure of NdPaPdAu.

a b c (Å): 7.232 7.232 7.232
angles (deg): 90.00 90.00 90.00
Atoms (fractional coordinates):
1 Nd 0.000 0.000 0.000
2 Nd 0.000 0.500 0.500
3 Nd 0.500 0.000 0.500
4 Nd 0.500 0.500 0.000
5 Pa 0.000 0.000 0.500
6 Pa 0.000 0.500 0.000
7 Pa 0.500 0.000 0.000
8 Pa 0.500 0.500 0.500
9 Pd 0.250 0.250 0.250
10 Pd 0.250 0.750 0.750
11 Pd 0.750 0.250 0.750
12 Pd 0.750 0.750 0.250
13 Au 0.250 0.250 0.750
14 Au 0.250 0.750 0.250
15 Au 0.750 0.250 0.250
16 Au 0.750 0.750 0.750

The density of states at the Fermi level comes out at 7.2 states/eV/f.u. The total magnetization is 1.136 μB/f.u. For the theoretical density, the calculation gives 11.92 g/cm³. The calculation puts the formation energy at -0.409 eV/atom.


[2]
Density functional theory data (GGA-PBE) for a relaxed structure of DyTh4.

a b c (Å): 5.693 5.693 5.693
angles (deg): 90.00 90.00 90.00
Atoms (fractional coordinates):
1 Dy 0.000 0.000 0.000
2 Th 0.000 0.000 0.500
3 Th 0.000 0.500 0.000
4 Th 0.500 0.000 0.000
5 Th 0.500 0.500 0.500

The density of states at the Fermi level comes out at 8.0 states/eV/f.u. The total magnetization is 0.000 μB/f.u. For the theoretical density, the calculation gives 9.82 g/cm³. The calculation puts the formation energy at 1.003 eV/atom.


[3]
Density functional theory data (GGA-PBE) for a relaxed structure of Cr3BW.

a b c (Å): 3.908 3.908 3.908
angles (deg): 90.00 90.00 90.00
Atoms (fractional coordinates):
1 Cr 0.000 0.000 0.500
2 Cr 0.000 0.500 0.000
3 Cr 0.500 0.000 0.000
4 B 0.000 0.000 0.000
5 W 0.500 0.500 0.500

The density of states at the Fermi level comes out at 5.1 states/eV/f.u. The total magnetization is 0.000 μB/f.u. For the theoretical density, the calculation gives 9.76 g/cm³. The calculation puts the formation energy at 0.259 eV/atom.


[4]
Density functional theory data (GGA-PBE) for a relaxed structure of PtBrN2O.

a b c (Å): 3.949 3.949 4.117
angles (deg): 90.00 90.00 90.00
Atoms (fractional coordinates):
1 Pt 0.000 0.000 0.000
2 Br 0.500 0.500 0.500
3 N 0.000 0.500 0.000
4 N 0.500 0.000 0.000
5 O 0.000 0.000 0.500

The density of states at the Fermi level comes out at 3.2 states/eV/f.u. The total magnetization is 0.755 μB/f.u. For the theoretical density, the calculation gives 8.25 g/cm³. For the formation energy (no corrections), the calculation gives 7.42 eV per formula unit.